Mg2SbBr | PBE-GGA | relaxed

Energy relative to the elements, uncorrected = -0.418 eV/atom
Crystal system = tetragonal

abc: 5.328 5.328 3.399
angles: 90.00 90.00 90.00
Fractional positions:
Mg: 0.000 0.500 0.000
Mg: 0.500 0.000 0.000
Sb: 0.000 0.000 0.500
Br: 0.500 0.500 0.500